1.
The following is a DFT calculation (PBE) of Rb2Li2TiO4 after structural relaxation.

Its raw total energy is -103.8 eV/cell. For the uncorrected formation energy, the calculation gives -197.45 kJ per mole of atoms.

Cell and atoms, written as CIF:
```
data_Rb2Li2TiO4
_chemical_formula_sum 'Rb4 Li4 Ti2 O8'
_cell_length_a 12.035
_cell_length_b 3.253
_cell_length_c 6.425
_cell_angle_alpha 90.00
_cell_angle_beta 108.97
_cell_angle_gamma 90.00
_space_group_name_H-M_alt 'C 1 2/m 1'
_space_group_IT_number 12
loop_
_space_group_symop_operation_xyz
'x,y,z'
'-x,-y,-z'
'-x,y,-z'
'x,-y,z'
'x+1/2,y+1/2,z'
'-x+1/2,-y+1/2,-z'
'-x+1/2,y+1/2,-z'
'x+1/2,-y+1/2,z'
loop_
_atom_site_label
_atom_site_fract_x
_atom_site_fract_y
_atom_site_fract_z
Rb1 0.140 0.000 0.060
Li1 0.176 0.500 0.482
Ti1 0.000 0.000 0.500
O1 0.014 0.500 0.303
O2 0.174 0.000 0.624
```

2.
The following is a DFT calculation (PBE) of AgMo2S after structural relaxation.

Its raw total energy is -104.0 eV/cell. For the uncorrected formation energy, the calculation gives 63.46 kJ per mole of atoms.

Cell and atoms, written as CIF:
```
data_AgMo2S
_chemical_formula_sum 'Ag4 Mo8 S4'
_cell_length_a 3.771
_cell_length_b 3.771
_cell_length_c 19.178
_cell_angle_alpha 90.00
_cell_angle_beta 90.00
_cell_angle_gamma 90.00
_space_group_name_H-M_alt 'I -4 2 d'
_space_group_IT_number 122
_space_group_name_Hall 'I -4 2bw'
loop_
_atom_site_label
_atom_site_fract_x
_atom_site_fract_y
_atom_site_fract_z
Ag1 0.000 0.000 0.000
Mo1 0.212 0.250 0.625
S1 0.000 0.000 0.500
```

3.
The following is a DFT calculation (PBE) of FeCuOs2 after structural relaxation.

Its raw total energy is -34.2 eV/cell. The formation enthalpy at 0 K is 211.9 meV per atom. The energy above the most stable polymorph in this dataset is 4 kJ/mol of formula units.

Cell and atoms, written as CIF:
```
data_FeCuOs2
_chemical_formula_sum 'Fe1 Cu1 Os2'
_cell_length_a 2.710
_cell_length_b 3.779
_cell_length_c 5.216
_cell_angle_alpha 90.00
_cell_angle_beta 90.00
_cell_angle_gamma 90.00
_space_group_name_H-M_alt 'P m m 2'
_space_group_IT_number 25
loop_
_space_group_symop_operation_xyz
'x,y,z'
'-x,-y,z'
'-x,y,z'
'x,-y,z'
loop_
_atom_site_label
_atom_site_fract_x
_atom_site_fract_y
_atom_site_fract_z
Fe1 0.000 0.000 0.000
Cu1 0.500 0.500 0.774
Os1 0.000 0.000 0.503
Os2 0.500 0.500 0.272
```

4.
The following is a DFT calculation (PBE) of CdCo4Mo after structural relaxation.

Its raw total energy is -156.1 eV/cell. The formation enthalpy at 0 K is 192.3 meV per atom.

Cell and atoms, written as CIF:
```
data_CdCo4Mo
_chemical_formula_sum 'Cd4 Co16 Mo4'
_cell_length_a 6.716
_cell_length_b 6.716
_cell_length_c 6.716
_cell_angle_alpha 90.00
_cell_angle_beta 90.00
_cell_angle_gamma 90.00
_space_group_name_H-M_alt 'F -4 3 m'
_space_group_IT_number 216
_space_group_name_Hall 'F -4 2 3'
loop_
_atom_site_label
_atom_site_fract_x
_atom_site_fract_y
_atom_site_fract_z
Cd1 0.000 0.000 0.000
Co1 0.125 0.125 0.625
Mo1 0.250 0.250 0.250
```

5.
The following is a DFT calculation (PBE) of TlRuW4 after structural relaxation.

Its raw total energy is -235.8 eV/cell. The formation enthalpy at 0 K is 751.0 meV per atom.

Cell and atoms, written as CIF:
```
data_TlRuW4
_chemical_formula_sum 'Tl4 Ru4 W16'
_cell_length_a 7.505
_cell_length_b 7.505
_cell_length_c 7.505
_cell_angle_alpha 90.00
_cell_angle_beta 90.00
_cell_angle_gamma 90.00
_space_group_name_H-M_alt 'F -4 3 m'
_space_group_IT_number 216
_space_group_name_Hall 'F -4 2 3'
loop_
_atom_site_label
_atom_site_fract_x
_atom_site_fract_y
_atom_site_fract_z
Tl1 0.000 0.000 0.000
Ru1 0.250 0.250 0.250
W1 0.126 0.126 0.626
```

6.
The following is a DFT calculation (PBE) of KGaPb after structural relaxation.

Its raw total energy is -32.4 eV/cell. The formation enthalpy at 0 K is -86.1 meV per atom.

Cell and atoms, written as CIF:
```
data_KGaPb
_chemical_formula_sum 'K4 Ga4 Pb4'
_cell_length_a 7.001
_cell_length_b 7.198
_cell_length_c 9.208
_cell_angle_alpha 68.48
_cell_angle_beta 69.62
_cell_angle_gamma 85.46
_space_group_name_H-M_alt 'P 1'
_space_group_IT_number 1
loop_
_space_group_symop_operation_xyz
'x,y,z'
loop_
_atom_site_label
_atom_site_fract_x
_atom_site_fract_y
_atom_site_fract_z
K1 0.000 0.000 0.000
K2 0.020 0.078 0.548
K3 0.352 0.629 0.282
K4 0.472 0.233 0.052
Ga1 0.517 0.874 0.826
Ga2 0.795 0.656 0.910
Ga3 0.808 0.598 0.403
Ga4 0.851 0.526 0.676
Pb1 0.243 0.609 0.792
Pb2 0.474 0.278 0.624
Pb3 0.577 0.930 0.456
Pb4 0.893 0.387 0.184
```

7.
The following is a DFT calculation (PBE) of Ce2Ga5Re after structural relaxation.

Its raw total energy is -83.4 eV/cell. The formation enthalpy at 0 K is -282.9 meV per atom.

Cell and atoms, written as CIF:
```
data_Ce2Ga5Re
_chemical_formula_sum 'Ce4 Ga10 Re2'
_cell_length_a 6.193
_cell_length_b 6.193
_cell_length_c 8.748
_cell_angle_alpha 90.00
_cell_angle_beta 90.00
_cell_angle_gamma 90.00
_space_group_name_H-M_alt 'I 4 m m'
_space_group_IT_number 107
_space_group_name_Hall 'I 4 -2'
loop_
_atom_site_label
_atom_site_fract_x
_atom_site_fract_y
_atom_site_fract_z
Ce1 0.000 0.500 0.000
Ga1 0.000 0.000 0.015
Ga2 0.212 0.212 0.243
Re1 0.000 0.000 0.731
```

8.
The following is a DFT calculation (PBE) of LiLa2I6 after structural relaxation.

Its raw total energy is -67.1 eV/cell. For the uncorrected formation energy, the calculation gives -133.83 kJ per mole of atoms. The energy above the most stable polymorph in this dataset is 0 kJ/mol of formula units.

Cell and atoms, written as CIF:
```
data_LiLa2I6
_chemical_formula_sum 'Li2 La4 I12'
_cell_length_a 16.499
_cell_length_b 4.132
_cell_length_c 13.220
_cell_angle_alpha 90.00
_cell_angle_beta 118.38
_cell_angle_gamma 90.00
_space_group_name_H-M_alt 'C 1 2/m 1'
_space_group_IT_number 12
loop_
_space_group_symop_operation_xyz
'x,y,z'
'-x,-y,-z'
'-x,y,-z'
'x,-y,z'
'x+1/2,y+1/2,z'
'-x+1/2,-y+1/2,-z'
'-x+1/2,y+1/2,-z'
'x+1/2,-y+1/2,z'
loop_
_atom_site_label
_atom_site_fract_x
_atom_site_fract_y
_atom_site_fract_z
Li1 0.000 0.000 0.000
La1 0.180 0.500 0.300
I1 0.009 0.000 0.223
I2 0.155 0.500 0.536
I3 0.197 0.000 0.118
```

Number 1: DOS(E_F) 0.000 states/eV/cell. Number 2: DOS(E_F) 11.420 states/eV/cell. Number 3: DOS(E_F) 3.452 states/eV/cell. Number 4: DOS(E_F) 36.154 states/eV/cell. Number 5: DOS(E_F) 27.673 states/eV/cell. Number 6: DOS(E_F) 1.122 states/eV/cell. Number 7: DOS(E_F) 22.393 states/eV/cell. Number 8: DOS(E_F) 6.866 states/eV/cell.